(1)
Material: TcTe2
Method: DFT, PBE-GGA
State: optimized geometry

Output
energy relative to the elements, uncorrected	0.31	eV per atom
SG	P-62m, No. 189

Cell: 7.5505 7.5505 4.0100 Å, 90.00 90.00 120.00°
Last column: nearest neighbours and their distance in Å.
Fractional coordinates of all 9 atoms:
Tc (0.3333, 0.6667, 0.0000)  9 Te 2.82-3.06
Tc (0.6667, 0.3333, 0.0000)  9 Te 2.82-3.06
Tc (0.0000, 0.0000, 0.5000)  9 Te 2.82-3.02
Te (0.2634, 0.0000, 0.0000)  4 Tc 2.82
Te (0.0000, 0.2634, 0.0000)  4 Tc 2.82
Te (0.7366, 0.7366, 0.0000)  4 Tc 2.82
Te (0.6001, 0.0000, 0.5000)  5 Tc 3.02-3.06, 6 Te 3.24-3.33
Te (0.0000, 0.6001, 0.5000)  5 Tc 3.02-3.06, 6 Te 3.24-3.33
Te (0.3999, 0.3999, 0.5000)  5 Tc 3.02-3.06, 6 Te 3.24-3.33

(2)
Material: GdLu3N
Method: DFT, PBE-GGA
State: optimized geometry

Output
energy relative to the elements, uncorrected	-0.53	eV per atom
SG	Pm-3m, No. 221

Cell: 4.8564 4.8564 4.8564 Å, 90.00 90.00 90.00°
Last column: nearest neighbours and their distance in Å.
Fractional coordinates of all 5 atoms:
Gd (0.5000, 0.5000, 0.5000)  12 Lu 3.43
Lu (0.0000, 0.5000, 0.0000)  2 N 2.43
Lu (0.0000, 0.0000, 0.5000)  2 N 2.43
Lu (0.5000, 0.0000, 0.0000)  2 N 2.43
N (0.0000, 0.0000, 0.0000)  6 Lu 2.43

(3)
Material: NaAgI2N
Method: DFT, PBE-GGA
State: optimized geometry

Output
energy relative to the elements, uncorrected	0.75	eV per atom
energy above the lowest structure with this stoichiometry	0.426	eV/atom
SG	P4/mmm, No. 123

Cell: 5.9359 5.9359 4.5687 Å, 90.00 90.00 90.00°
Last column: nearest neighbours and their distance in Å.
Fractional coordinates of all 5 atoms:
I (0.0000, 0.5000, 0.0000)  2 Na 2.97
I (0.5000, 0.0000, 0.0000)  2 Na 2.97
Na (0.0000, 0.0000, 0.0000)  2 N 2.28
Ag (0.5000, 0.5000, 0.5000)  8 I 3.75
N (0.0000, 0.0000, 0.5000)  2 Na 2.28

(4)
Material: ReMoS2
Method: DFT, PBE-GGA
State: optimized geometry

Output
energy relative to the elements, uncorrected	0.15	eV per atom
energy above the lowest structure with this stoichiometry	0.222	eV/atom
SG	Fm-3m, No. 225

Cell: 4.2359 4.2359 4.2359 Å, 60.00 60.00 60.00°
Last column: nearest neighbours and their distance in Å.
Fractional coordinates of all 4 atoms:
Re (0.5000, 0.5000, 0.5000)  8 S 2.59
Mo (0.0000, 0.0000, 0.0000)  8 S 2.59
S (0.2500, 0.2500, 0.2500)  4 Mo 2.59, 4 Re 2.59
S (0.7500, 0.7500, 0.7500)  4 Re 2.59, 4 Mo 2.59

(5)
Material: NdLuCoAu
Method: DFT, PBE-GGA
State: optimized geometry

Output
E_form	-381	meV per atom
SG	F-43m, No. 216

Cell: 4.9759 4.9759 4.9759 Å, 60.00 60.00 60.00°
Last column: nearest neighbours and their distance in Å.
Fractional coordinates of all 4 atoms:
Au (0.0000, 0.0000, 0.0000)  4 Nd 3.05, 4 Lu 3.05
Lu (0.2500, 0.2500, 0.2500)  4 Au 3.05, 4 Co 3.05
Nd (0.7500, 0.7500, 0.7500)  4 Co 3.05, 4 Au 3.05
Co (0.5000, 0.5000, 0.5000)  4 Lu 3.05, 4 Nd 3.05

(6)
Material: ZnOsCl2
Method: DFT, PBE-GGA
State: optimized geometry

Output
energy relative to the elements, uncorrected	0.39	eV per atom
energy above the lowest structure with this stoichiometry	0.403	eV/atom
SG	Cmmm, No. 65

Cell: 3.1487 3.1487 9.9225 Å, 90.00 90.00 124.79°
Last column: nearest neighbours and their distance in Å.
Fractional coordinates of all 4 atoms:
Zn (0.5000, 0.5000, 0.7500)  6 Zn 2.92-3.15
Os (0.5000, 0.5000, 0.2500)  4 Cl 2.38
Cl (0.0000, 0.0000, 0.0607)  2 Os 2.38
Cl (0.0000, 0.0000, 0.4393)  2 Os 2.38

(7)
Material: Ta2AlAs
Method: DFT, PBE-GGA
State: optimized geometry

Output
E_form	38	meV per atom
energy above the lowest structure with this stoichiometry	0.254	eV/atom
SG	I4/mmm, No. 139

Cell: 4.8602 4.8602 4.8602 Å, 129.04 129.04 74.95°
Last column: nearest neighbours and their distance in Å.
Fractional coordinates of all 4 atoms:
As (0.7500, 0.2500, 0.5000)  8 Ta 2.84, 4 Al 2.96
Al (0.2500, 0.7500, 0.5000)  8 Ta 2.84, 4 As 2.96
Ta (0.0000, 0.0000, 0.0000)  4 As 2.84, 4 Al 2.84, 4 Ta 2.96
Ta (0.5000, 0.5000, 0.0000)  4 Al 2.84, 4 As 2.84, 4 Ta 2.96

(8)
Material: PrNdMgZn
Method: DFT, PBE-GGA
State: optimized geometry

Output
E_form	-209	meV per atom
energy above the lowest structure with this stoichiometry	0.000	eV/atom
SG	P4mm, No. 99

Cell: 3.7557 3.7557 7.7930 Å, 90.00 90.00 90.00°
Last column: nearest neighbours and their distance in Å.
Fractional coordinates of all 4 atoms:
Pr (0.0000, 0.0000, 0.3800)  4 Zn 3.21, 4 Mg 3.42, 1 Nd 3.53
Nd (0.0000, 0.0000, 0.8331)  4 Zn 3.17, 4 Mg 3.39, 1 Pr 3.53
Mg (0.5000, 0.5000, 0.1040)  4 Nd 3.39, 4 Pr 3.42, 4 Mg 3.76
Zn (0.5000, 0.5000, 0.6108)  4 Nd 3.17, 4 Pr 3.21

no.,size of the total moment (μB per cell)
1,1.9
2,8.8
3,3.0
4,0.0
5,0.7
6,0.0
7,0.0
8,0.0